Record 1
The following is a DFT calculation (PBE-GGA) of a relaxed Al2AsCl crystal.

POSCAR file:
```
Al2AsCl
1.0
0.000 3.335 3.335
3.335 0.000 3.335
3.335 3.335 0.000
Al As Cl
2 1 1
direct
0.250 0.250 0.250 Al
0.750 0.750 0.750 Al
0.000 0.000 0.000 As
0.500 0.500 0.500 Cl
```

Output
energy relative to the lowest polymorph listed for this composition	23.5	kJ per mole of atoms
uncorrected formation energy	-0.080	eV per atom
calculated total energy	-3.57	eV per atom
calculated volume	18.553	Å³/atom

***

Record 2
The following is a DFT calculation (PBE-GGA) of a relaxed Sm8TlRu2 crystal.

POSCAR file:
```
Sm8TlRu2
1.0
4.445 -6.730 0.000
4.445 6.730 0.000
-1.290 0.000 5.410
Sm Tl Ru
8 1 2
direct
0.112 0.112 0.800 Sm
0.172 0.432 0.432 Sm
0.250 0.750 0.000 Sm
0.432 0.172 0.432 Sm
0.568 0.828 0.568 Sm
0.750 0.250 0.000 Sm
0.828 0.568 0.568 Sm
0.888 0.888 0.200 Sm
0.500 0.500 0.000 Tl
0.193 0.807 0.500 Ru
0.807 0.193 0.500 Ru
```

Output
DFT formation energy	-0.160	eV/atom
calculated total energy	-5.49	eV per atom
calculated volume	29.426	Å³/atom

***

Record 3
The following is a DFT calculation (PBE-GGA) of a relaxed ScAlIn crystal.

POSCAR file:
```
ScAlIn
1.0
3.210 0.000 0.000
-1.605 2.780 0.000
0.000 0.000 7.388
Sc Al In
1 1 1
direct
0.000 0.000 0.000 Sc
0.667 0.333 0.317 Al
0.333 0.667 0.650 In
```

Output
DFT formation energy	-0.048	eV/atom
calculated total energy	-4.32	eV per atom
calculated volume	21.974	Å³/atom

***

Copy entry 2 word for word.
The following is a DFT calculation (PBE-GGA) of a relaxed Sm8TlRu2 crystal.

POSCAR file:
```
Sm8TlRu2
1.0
4.445 -6.730 0.000
4.445 6.730 0.000
-1.290 0.000 5.410
Sm Tl Ru
8 1 2
direct
0.112 0.112 0.800 Sm
0.172 0.432 0.432 Sm
0.250 0.750 0.000 Sm
0.432 0.172 0.432 Sm
0.568 0.828 0.568 Sm
0.750 0.250 0.000 Sm
0.828 0.568 0.568 Sm
0.888 0.888 0.200 Sm
0.500 0.500 0.000 Tl
0.193 0.807 0.500 Ru
0.807 0.193 0.500 Ru
```

Output
DFT formation energy	-0.160	eV/atom
calculated total energy	-5.49	eV per atom
calculated volume	29.426	Å³/atom

***

Q: calculated total energy of number 1 (Al2AsCl)?
A: -3.57 eV per atom

***

Repeat the second record exactly.
The following is a DFT calculation (PBE-GGA) of a relaxed Sm8TlRu2 crystal.

POSCAR file:
```
Sm8TlRu2
1.0
4.445 -6.730 0.000
4.445 6.730 0.000
-1.290 0.000 5.410
Sm Tl Ru
8 1 2
direct
0.112 0.112 0.800 Sm
0.172 0.432 0.432 Sm
0.250 0.750 0.000 Sm
0.432 0.172 0.432 Sm
0.568 0.828 0.568 Sm
0.750 0.250 0.000 Sm
0.828 0.568 0.568 Sm
0.888 0.888 0.200 Sm
0.500 0.500 0.000 Tl
0.193 0.807 0.500 Ru
0.807 0.193 0.500 Ru
```

Output
DFT formation energy	-0.160	eV/atom
calculated total energy	-5.49	eV per atom
calculated volume	29.426	Å³/atom

***

Q: The highest calculated total energy belongs to which entry?
A: Al2AsCl